# Fe2BiF11

A geometry-optimized Fe2BiF11 structure (PBE with a Hubbard U, the Alexandria database).

Computed properties:
- Space group: Ibam (72)
- Total DFT energy (no corrections): -4.575 eV per atom

a b c (Å): 7.286 8.017 8.017
angles (deg): 72.47 62.97 62.97
Site moments in Bohr magnetons follow the coordinates.
Fractional positions:
1 Fe 0.630 0.683 0.317  4.48
2 Fe 0.370 0.317 0.683  4.48
3 Fe 0.870 0.183 0.817  4.48
4 Fe 0.130 0.817 0.183  4.48
5 Bi 0.750 0.750 0.750  0.03
6 Bi 0.250 0.250 0.250  0.03
7 F 0.635 0.697 0.575  0.05
8 F 0.365 0.303 0.425  0.05
9 F 0.092 0.575 0.697  0.05
10 F 0.865 0.925 0.803  0.05
11 F 0.908 0.425 0.303  0.05
12 F 0.135 0.075 0.197  0.05
13 F 0.408 0.803 0.925  0.05
14 F 0.592 0.197 0.075  0.05
15 F 0.500 0.500 0.500  0.17
16 F 0.000 0.000 0.000  0.17
17 F 0.865 0.774 0.226  0.17
18 F 0.135 0.226 0.774  0.17
19 F 0.635 0.274 0.726  0.17
20 F 0.365 0.726 0.274  0.17
21 F 0.450 0.966 0.337  0.06
22 F 0.550 0.034 0.663  0.06
23 F 0.248 0.337 0.966  0.06
24 F 0.050 0.163 0.534  0.06
25 F 0.752 0.663 0.034  0.06
26 F 0.950 0.837 0.466  0.06
27 F 0.252 0.534 0.163  0.06
28 F 0.748 0.466 0.837  0.06